[1]
A plane-wave DFT calculation with PBE-GGA was carried out for a relaxed KInTc3 crystal.

Structure (POSCAR):
```
KInTc3
1.0
5.200 0.000 0.000
0.000 5.200 0.000
0.000 0.000 5.200
Tc In K
3 1 1
Direct
0.500 0.000 0.000 Tc
0.000 0.000 0.500 Tc
0.000 0.500 0.000 Tc
0.000 0.000 0.000 In
0.500 0.500 0.500 K
```



[2]
A plane-wave DFT calculation with PBE-GGA was carried out for a relaxed K2InTc crystal.

Structure (POSCAR):
```
K2InTc
1.0
-3.747 0.305 -9.868
1.327 -1.676 -10.341
-0.111 -1.686 10.424
K Tc In
2 1 1
Direct
0.602 0.602 0.000 K
0.898 0.898 0.000 K
0.750 0.250 0.500 Tc
0.250 0.750 0.500 In
```



[3]
A plane-wave DFT calculation with PBE-GGA was carried out for a relaxed KIn4Tc crystal.

Structure (POSCAR):
```
KIn4Tc
1.0
-5.315 -2.498 -0.311
-3.984 2.030 -3.819
-1.469 -3.212 -4.702
In Tc K
4 1 1
Direct
0.374 0.877 0.374 In
0.374 0.374 0.374 In
0.374 0.374 0.877 In
0.877 0.374 0.374 In
0.000 0.000 0.000 Tc
0.750 0.750 0.750 K
```



[4]
A plane-wave DFT calculation with PBE-GGA was carried out for a relaxed KInTc2 crystal.

Structure (POSCAR):
```
KInTc2
1.0
5.300 -0.063 -0.015
4.084 3.379 -0.015
1.282 0.453 6.311
Tc In K
2 1 1
Direct
0.988 0.988 0.148 Tc
0.512 0.512 0.352 Tc
0.250 0.250 0.250 In
0.750 0.750 0.750 K
```



[5]
A plane-wave DFT calculation with PBE-GGA was carried out for a relaxed K2InTc crystal.

Structure (POSCAR):
```
K2InTc
1.0
4.958 -0.011 0.003
4.029 2.890 0.003
0.511 0.164 9.858
In K Tc
1 2 1
Direct
0.760 0.760 0.664 In
0.010 0.010 0.912 K
0.236 0.236 0.335 K
0.494 0.494 0.589 Tc
```



[6]
A plane-wave DFT calculation with PBE-GGA was carried out for a relaxed K2InTc crystal.

Structure (POSCAR):
```
K2InTc
1.0
-2.137 -1.454 -1.440
0.058 -1.642 2.461
-8.203 7.148 4.962
K Tc In
2 1 1
Direct
0.000 0.000 0.481 K
0.000 0.000 0.019 K
0.500 0.500 0.250 Tc
0.500 0.500 0.750 In
```



[7]
A plane-wave DFT calculation with PBE-GGA was carried out for a relaxed KInTc2 crystal.

Structure (POSCAR):
```
KInTc2
1.0
2.794 0.000 0.000
0.000 2.794 0.000
0.000 0.000 10.200
Tc K In
2 1 1
Direct
0.000 0.000 0.038 Tc
0.000 0.000 0.462 Tc
0.500 0.500 0.750 K
0.500 0.500 0.250 In
```



[8]
A plane-wave DFT calculation with PBE-GGA was carried out for a relaxed KInTc2 crystal.

Structure (POSCAR):
```
KInTc2
1.0
3.090 0.000 0.000
0.000 3.090 0.000
0.000 0.000 9.263
K Tc In
1 2 1
Direct
0.500 0.500 0.766 K
0.000 0.000 0.077 Tc
0.500 0.500 0.215 Tc
0.000 0.000 0.441 In
```



[9]
A plane-wave DFT calculation with PBE-GGA was carried out for a relaxed KInTc2 crystal.

Structure (POSCAR):
```
KInTc2
1.0
-1.278 -2.680 0.315
-0.186 -0.441 -4.508
6.534 -3.111 0.035
Tc K In
2 1 1
Direct
0.000 0.000 0.400 Tc
0.000 0.000 0.100 Tc
0.500 0.500 0.750 K
0.500 0.500 0.250 In
```



[10]
A plane-wave DFT calculation with PBE-GGA was carried out for a relaxed K2InTc crystal.

Structure (POSCAR):
```
K2InTc
1.0
-1.651 0.957 3.594
1.580 -2.899 1.497
8.153 5.758 2.213
K In Tc
2 1 1
Direct
0.000 0.886 0.923 K
0.500 0.364 0.327 K
0.500 0.875 0.629 In
0.000 0.375 0.621 Tc
```



[11]
A plane-wave DFT calculation with PBE-GGA was carried out for a relaxed KInTc2 crystal.

Structure (POSCAR):
```
KInTc2
1.0
-1.926 -5.405 0.820
3.616 1.157 -4.380
2.080 -0.501 1.585
Tc In K
2 1 1
Direct
0.000 0.000 0.000 Tc
0.500 0.500 0.000 Tc
0.500 0.000 0.500 In
0.000 0.500 0.500 K
```



[12]
A plane-wave DFT calculation with PBE-GGA was carried out for a relaxed KInTc2 crystal.

Structure (POSCAR):
```
KInTc2
1.0
-4.664 7.207 -6.442
-6.771 7.051 -4.431
-4.515 8.858 -4.043
K In Tc
1 1 2
Direct
0.750 0.750 0.750 K
0.250 0.250 0.250 In
0.990 0.990 0.990 Tc
0.510 0.510 0.510 Tc
```



[13]
A plane-wave DFT calculation with PBE-GGA was carried out for a relaxed KInTc crystal.

Structure (POSCAR):
```
KInTc
1.0
-5.390 4.114 -0.235
-6.475 -0.956 -1.788
5.611 -1.094 3.654
K In Tc
1 1 1
Direct
0.333 0.333 0.000 K
0.060 0.060 0.000 In
0.607 0.607 0.000 Tc
```



[14]
A plane-wave DFT calculation with PBE-GGA was carried out for a relaxed K4InTc crystal.

Structure (POSCAR):
```
K4InTc
1.0
0.000 4.966 4.966
4.966 0.000 4.966
4.966 4.966 0.000
In K Tc
1 4 1
Direct
0.000 0.000 0.000 In
0.375 0.375 0.375 K
0.375 0.375 0.875 K
0.375 0.875 0.375 K
0.875 0.375 0.375 K
0.750 0.750 0.750 Tc
```



[15]
A plane-wave DFT calculation with PBE-GGA was carried out for a relaxed KInTc2 crystal.

Structure (POSCAR):
```
KInTc2
1.0
-1.768 1.062 5.881
0.167 -4.405 4.405
2.572 3.870 -4.152
In Tc K
1 2 1
Direct
0.750 0.250 0.500 In
0.529 0.529 0.000 Tc
0.971 0.971 0.000 Tc
0.250 0.750 0.500 K
```



[16]
A plane-wave DFT calculation with PBE-GGA was carried out for a relaxed K2In4Tc crystal.

Structure (POSCAR):
```
K2In4Tc
1.0
5.315 0.000 0.000
0.000 5.315 0.000
2.657 2.657 8.867
K In Tc
2 4 1
Direct
0.351 0.351 0.298 K
0.649 0.649 0.702 K
0.000 0.500 0.000 In
0.854 0.854 0.291 In
0.146 0.146 0.709 In
0.500 0.000 0.000 In
0.000 0.000 0.000 Tc
```



[17]
A plane-wave DFT calculation with PBE-GGA was carried out for a relaxed K2InTc crystal.

Structure (POSCAR):
```
K2InTc
1.0
-10.003 6.580 2.428
-11.128 3.607 3.524
-9.332 5.582 5.569
K In Tc
2 1 1
Direct
0.014 0.014 0.014 K
0.232 0.232 0.232 K
0.765 0.765 0.765 In
0.489 0.489 0.489 Tc
```



[18]
A plane-wave DFT calculation with PBE-GGA was carried out for a relaxed K2InTc crystal.

Structure (POSCAR):
```
K2InTc
1.0
5.504 0.004 0.000
-0.003 5.504 0.000
-2.750 -2.754 3.892
In K Tc
1 2 1
Direct
0.750 0.250 0.500 In
0.000 0.000 0.000 K
0.250 0.750 0.500 K
0.500 0.500 0.000 Tc
```



[19]
A plane-wave DFT calculation with PBE-GGA was carried out for a relaxed K2InTc crystal.

Structure (POSCAR):
```
K2InTc
1.0
-9.736 -7.614 -0.467
-7.601 -9.747 0.453
-9.088 -7.976 2.601
Tc In K
1 1 2
Direct
0.250 0.250 0.250 Tc
0.750 0.750 0.750 In
0.505 0.505 0.505 K
0.995 0.995 0.995 K
```



[20]
A plane-wave DFT calculation with PBE-GGA was carried out for a relaxed KInTc4 crystal.

Structure (POSCAR):
```
KInTc4
1.0
0.000 3.792 3.792
3.792 0.000 3.792
3.792 3.792 0.000
In K Tc
1 1 4
Direct
0.750 0.750 0.750 In
0.000 0.000 0.000 K
0.376 0.376 0.873 Tc
0.376 0.873 0.376 Tc
0.873 0.376 0.376 Tc
0.376 0.376 0.376 Tc
```



| no. | calculated total energy (eV per atom) | formation enthalpy at 0 K (meV per atom) |
| --- | --- | --- |
| 1 | -4.814 | 2172.3 |
| 2 | -3.258 | 567.0 |
| 3 | -3.191 | 545.5 |
| 4 | -5.411 | 730.9 |
| 5 | -3.111 | 714.3 |
| 6 | -2.884 | 940.9 |
| 7 | -5.118 | 1024.4 |
| 8 | -5.751 | 390.5 |
| 9 | -5.358 | 784.0 |
| 10 | -3.252 | 572.8 |
| 11 | -4.937 | 1205.0 |
| 12 | -5.174 | 967.6 |
| 13 | -4.043 | 690.9 |
| 14 | -1.886 | 1030.0 |
| 15 | -5.053 | 1088.9 |
| 16 | -3.277 | 82.5 |
| 17 | -2.962 | 862.5 |
| 18 | -2.880 | 944.4 |
| 19 | -2.790 | 1035.3 |
| 20 | -6.744 | 805.9 |